Entry 1:
{
  "formula": "MnBeHg2",
  "functional": "GGA-PBE",
  "state": "optimized geometry",
  "dft_energy_ev_per_fu": -12.16,
  "ef_mev_per_atom": 334,
  "m_tot_mub_per_fu": 3.0,
  "sg": "Pm, No. 6",
  "cell": [[-2.268, -1.300, 2.220], [1.981, 0.302, 2.201], [-1.338, 6.254, 2.294]],
  "species": ["Be", "Mn", "Hg", "Hg"],
  "frac_coords": [[0.500, 0.979, 0.674], [0.000, 0.525, 0.576], [0.000, 0.836, 0.960], [0.500, 0.160, 0.291]]
}

=====

Entry 2:
{
  "formula": "LiTa2Ru2",
  "functional": "GGA-PBE",
  "state": "optimized geometry",
  "dft_energy_ev_per_fu": -44.64,
  "ef_mev_per_atom": -94,
  "m_tot_mub_per_fu": 0.0,
  "sg": "P4/mbm, No. 127",
  "e_above_lowest_polymorph_ev_per_atom": 0.0000,
  "cell": [[7.510, 0.000, 0.000], [0.000, 7.510, 0.000], [0.000, 0.000, 3.018]],
  "species": ["Ru", "Ru", "Ru", "Ru", "Li", "Li", "Ta", "Ta", "Ta", "Ta"],
  "frac_coords": [[0.356, 0.856, 0.000], [0.856, 0.644, 0.000], [0.644, 0.144, 0.000], [0.144, 0.356, 0.000], [0.000, 0.000, 0.000], [0.500, 0.500, 0.000], [0.152, 0.652, 0.500], [0.652, 0.848, 0.500], [0.848, 0.348, 0.500], [0.348, 0.152, 0.500]]
}

=====

Entry 3:
{
  "formula": "CdCo3Br9",
  "functional": "GGA-PBE",
  "state": "optimized geometry",
  "dft_energy_ev_per_fu": -42.07,
  "e_form_raw_mev_per_atom": -368,
  "m_tot_mub_per_fu": 10.0,
  "sg": "Cc, No. 9",
  "cell": [[8.502, 0.000, 3.578], [3.882, 9.233, 2.665], [0.260, -0.209, 11.273]],
  "species": ["Cd", "Cd", "Co", "Co", "Co", "Co", "Co", "Co", "Br", "Br", "Br", "Br", "Br", "Br", "Br", "Br", "Br", "Br", "Br", "Br", "Br", "Br", "Br", "Br", "Br", "Br"],
  "frac_coords": [[0.026, 0.499, 0.997], [0.478, 0.999, 0.497], [0.817, 0.548, 0.676], [0.959, 0.048, 0.176], [0.994, 0.955, 0.831], [0.221, 0.455, 0.331], [0.595, 0.251, 0.716], [0.438, 0.751, 0.216], [0.307, 0.203, 0.334], [0.157, 0.703, 0.834], [0.383, 0.305, 0.924], [0.388, 0.805, 0.424], [0.177, 0.078, 0.718], [0.026, 0.578, 0.218], [0.703, 0.753, 0.066], [0.478, 0.253, 0.566], [0.827, 0.932, 0.373], [0.868, 0.432, 0.873], [0.588, 0.774, 0.698], [0.941, 0.274, 0.198], [0.475, 0.505, 0.225], [0.795, 0.005, 0.725], [0.767, 0.391, 0.589], [0.253, 0.891, 0.089], [0.820, 0.064, 0.032], [0.084, 0.564, 0.532]]
}

=====

Entry 4:
{
  "formula": "SrGa2Ag10",
  "functional": "GGA-PBE",
  "state": "optimized geometry",
  "dft_energy_ev_per_fu": -37.38,
  "ef_mev_per_atom": -87,
  "m_tot_mub_per_fu": 0.0,
  "sg": "Fmmm, No. 69",
  "cell": [[5.430, 0.000, 0.000], [2.715, 6.925, 0.000], [2.715, 0.000, 6.721]],
  "species": ["Sr", "Ga", "Ga", "Ag", "Ag", "Ag", "Ag", "Ag", "Ag", "Ag", "Ag", "Ag", "Ag"],
  "frac_coords": [[0.000, 0.000, 0.000], [0.000, 0.500, 0.000], [0.500, 0.500, 0.000], [0.352, 0.646, 0.650], [0.648, 0.354, 0.350], [0.998, 0.354, 0.650], [0.002, 0.646, 0.350], [0.000, 0.000, 0.500], [0.500, 0.000, 0.500], [0.278, 0.227, 0.216], [0.722, 0.773, 0.784], [0.505, 0.773, 0.216], [0.495, 0.227, 0.784]]
}

=====

Computed N(E_F) (states/eV per cell) in order:
1.771 5.879 20.454 4.040